# 1
First-principles (PBE) data for an optimized crystal structure of TmPd2Pb2, as listed in the Alexandria database.

abc: 4.867 4.813 9.964
angles: 90.00 90.00 90.00
Atoms (fractional coordinates):
Tm 0.750 0.249 0.671
Tm 0.250 0.751 0.329
Pd 0.250 0.250 0.827
Pd 0.750 0.750 0.173
Pd 0.250 0.251 0.494
Pd 0.750 0.749 0.506
Pb 0.750 0.250 0.333
Pb 0.250 0.750 0.996
Pb 0.750 0.250 0.004
Pb 0.250 0.750 0.667

DFT total energy: -4.99 eV/atom
Total magnetization: 0.00 μB/atom
Calculated formation energy: -0.54 eV/atom
Symmetry: P2_1/m (11)

---

# 2
First-principles (PBE) data for an optimized crystal structure of Ti2Sn2H, as listed in the Alexandria database.

abc: 3.050 5.360 10.972
angles: 90.00 90.00 106.53
Atoms (fractional coordinates):
Sn 0.954 0.908 0.175
Sn 0.292 0.583 0.815
Sn 0.708 0.417 0.315
Sn 0.046 0.092 0.675
Ti 0.005 0.011 0.931
Ti 0.995 0.989 0.431
Ti 0.771 0.543 0.570
Ti 0.229 0.457 0.070
H 0.622 0.245 0.994
H 0.378 0.755 0.494

DFT total energy: -5.53 eV/atom
Total magnetization: 0.07 μB/atom
Polymorph energy (0 for the lowest one): 0.000 eV/atom
Symmetry: Cmc2_1 (36)

---

# 3
First-principles (PBE) data for an optimized crystal structure of LiGdThMg, as listed in the Alexandria database.

abc: 5.359 5.359 5.359
angles: 60.00 60.00 60.00
Atoms (fractional coordinates):
Th 0.750 0.750 0.750
Mg 0.500 0.500 0.500
Li 0.000 0.000 0.000
Gd 0.250 0.250 0.250

DFT total energy: -6.12 eV/atom
Total magnetization: 1.93 μB/atom
Calculated formation energy: 0.13 eV/atom
Symmetry: F-43m (216)

---

# 4
First-principles (PBE) data for an optimized crystal structure of MnBe9Nb2, as listed in the Alexandria database.

abc: 4.499 4.499 7.454
angles: 72.44 72.44 60.00
Atoms (fractional coordinates):
Be 0.582 0.079 0.757
Be 0.500 0.500 0.500
Be 0.335 0.335 0.996
Be 0.418 0.921 0.243
Be 0.079 0.582 0.757
Be 0.921 0.418 0.243
Be 0.582 0.582 0.757
Be 0.418 0.418 0.243
Be 0.665 0.665 0.004
Mn 0.000 0.000 0.000
Nb 0.142 0.142 0.573
Nb 0.858 0.858 0.427

DFT total energy: -5.36 eV/atom
Total magnetization: 0.18 μB/atom
Calculated formation energy: -0.12 eV/atom
Symmetry: R-3m (166)

---

Which value of total magnetization does entry 3 give?
1.93 μB/atom